--- i ---
RePAu | SCAN | single point on PBEsol structure

Total moment ... 0.02 μB per cell
V ... 46.3 Å³/cell
Theoretical density ... 14.9 Mg/m³

Lattice parameters (Å, degrees): 2.893 2.893 6.387 90.00 90.00 120.00
Atoms (fractional coordinates):
Re: 0.000 0.000 0.000
P: 0.667 0.333 0.257
Au: 0.333 0.667 0.630

--- ii ---
RePAu | SCAN | single point on PBEsol structure

Total moment ... 10.47 μB per cell
V ... 218.8 Å³/cell
Theoretical density ... 12.6 Mg/m³

Lattice parameters (Å, degrees): 6.026 6.026 6.026 90.00 90.00 90.00
Atoms (fractional coordinates):
Re: 0.000 0.000 0.000
Re: 0.000 0.500 0.500
Re: 0.500 0.000 0.500
Re: 0.500 0.500 0.000
P: 0.000 0.000 0.500
P: 0.000 0.500 0.000
P: 0.500 0.000 0.000
P: 0.500 0.500 0.500
Au: 0.250 0.250 0.250
Au: 0.250 0.750 0.750
Au: 0.750 0.250 0.750
Au: 0.750 0.750 0.250

Relative energies, kJ/mol of atoms: i 0.0; ii 127.6.

--- i ---
P2RhAu | SCAN | single point on PBEsol structure

Total moment ... 0.00 μB per cell
V ... 58.9 Å³/cell
Theoretical density ... 10.2 Mg/m³

Lattice parameters (Å, degrees): 3.184 3.184 5.805 90.00 90.00 90.00
Atoms (fractional coordinates):
P: 0.000 0.000 0.209
P: 0.000 0.000 0.791
Rh: 0.500 0.500 0.000
Au: 0.500 0.500 0.500

--- ii ---
P2RhAu | SCAN | single point on PBEsol structure

Total moment ... 0.00 μB per cell
V ... 64.4 Å³/cell
Theoretical density ... 9.3 Mg/m³

Lattice parameters (Å, degrees): 4.061 3.817 4.153 90.00 90.87 90.00
Atoms (fractional coordinates):
P: 0.152 0.000 0.295
P: 0.848 0.000 0.705
Rh: 0.000 0.500 0.000
Au: 0.500 0.500 0.500

Relative energies, kJ/mol of atoms: i 25.8; ii 0.0.

--- i ---
P2RhAu | SCAN | single point on PBEsol structure

Total moment ... 0.00 μB per cell
V ... 59.2 Å³/cell
Theoretical density ... 10.1 Mg/m³

Lattice parameters (Å, degrees): 4.190 3.219 4.859 90.00 115.35 90.00
Atoms (fractional coordinates):
P: 0.000 0.000 0.000
P: 0.421 0.500 0.129
Rh: 0.860 0.000 0.427
Au: 0.463 0.500 0.657

--- ii ---
P2RhAu | SCAN | single point on PBEsol structure

Total moment ... 0.00 μB per cell
V ... 127.9 Å³/cell
Theoretical density ... 9.4 Mg/m³

Lattice parameters (Å, degrees): 2.757 4.597 10.092 90.00 90.00 90.00
Atoms (fractional coordinates):
P: 0.000 0.000 0.193
P: 0.000 0.000 0.807
P: 0.500 0.500 0.307
P: 0.500 0.500 0.693
Rh: 0.000 0.500 0.500
Rh: 0.500 0.000 0.000
Au: 0.000 0.500 0.000
Au: 0.500 0.000 0.500

Relative energies, kJ/mol of atoms: i 0.0; ii 29.5.

--- i ---
ScP2Au | SCAN | single point on PBEsol structure

Total moment ... 0.00 μB per cell
V ... 140.5 Å³/cell
Theoretical density ... 7.2 Mg/m³

Lattice parameters (Å, degrees): 3.083 3.083 17.063 90.00 90.00 120.00
Atoms (fractional coordinates):
Sc: 0.000 0.000 0.000
Sc: 0.000 0.000 0.500
P: 0.333 0.667 0.113
P: 0.333 0.667 0.387
P: 0.667 0.333 0.613
P: 0.667 0.333 0.887
Au: 0.333 0.667 0.250
Au: 0.667 0.333 0.750

--- ii ---
ScP2Au | SCAN | single point on PBEsol structure

Total moment ... 0.00 μB per cell
V ... 63.2 Å³/cell
Theoretical density ... 8.0 Mg/m³

Lattice parameters (Å, degrees): 4.299 4.299 3.421 90.00 90.00 90.00
Atoms (fractional coordinates):
Sc: 0.000 0.000 0.000
P: 0.000 0.500 0.500
P: 0.500 0.000 0.500
Au: 0.500 0.500 0.000

Relative energies, kJ/mol of atoms: i 24.3; ii 0.0.